1.
Entry from the Alexandria database: a relaxed SrBiSb2P crystal (GGA-PBEsol).

abc: 5.834 5.834 5.998
angles: 90.00 90.00 90.00
Site moments in Bohr magnetons follow the coordinates.
Sites, in units of the cell vectors:
1 Sb 0.000 0.500 0.000  0.02
2 Sb 0.500 0.000 0.000  0.02
3 Bi 0.000 0.000 0.500  -0.06
4 P 0.500 0.500 0.500  0.82
5 Sr 0.000 0.000 0.000  0.04

The density of states at the Fermi level is 6.07 states/eV per cell. Its raw formation energy is 1.38 eV per atom.

2.
Entry from the Alexandria database: a relaxed KMg3Si4O12 crystal (GGA-PBEsol).

abc: 5.259 5.259 20.115
angles: 92.52 92.52 119.57
Site moments in Bohr magnetons follow the coordinates.
Sites, in units of the cell vectors:
1 K 0.421 0.579 0.750  0.00
2 K 0.579 0.421 0.250  0.00
3 Mg 0.335 0.170 0.500  0.00
4 Mg 0.665 0.830 0.500  0.00
5 Mg 0.830 0.665 0.000  0.00
6 Mg 0.170 0.335 0.000  0.00
7 Mg 0.500 0.000 0.000  0.00
8 Mg 0.000 0.500 0.500  0.00
9 Si 0.721 0.212 0.637  0.00
10 Si 0.279 0.788 0.363  0.00
11 Si 0.788 0.279 0.863  0.00
12 Si 0.212 0.721 0.137  0.00
13 Si 0.119 0.943 0.863  0.00
14 Si 0.881 0.057 0.137  0.00
15 Si 0.057 0.881 0.637  0.00
16 Si 0.943 0.119 0.363  0.00
17 O 0.141 0.967 0.943  0.00
18 O 0.859 0.033 0.057  0.00
19 O 0.033 0.859 0.557  0.00
20 O 0.967 0.141 0.443  0.00
21 O 0.443 0.097 0.832  0.00
22 O 0.557 0.903 0.168  0.00
23 O 0.903 0.557 0.668  0.00
24 O 0.097 0.443 0.332  0.00
25 O 0.694 0.180 0.557  0.00
26 O 0.306 0.820 0.443  0.00
27 O 0.820 0.306 0.943  0.00
28 O 0.180 0.694 0.057  0.00
29 O 0.400 0.059 0.669  0.00
30 O 0.600 0.941 0.331  0.00
31 O 0.941 0.600 0.831  0.00
32 O 0.059 0.400 0.169  0.00
33 O 0.483 0.639 0.951  0.40
34 O 0.517 0.361 0.049  0.40
35 O 0.361 0.517 0.549  0.40
36 O 0.639 0.483 0.451  0.40
37 O 0.898 0.055 0.670  0.00
38 O 0.102 0.945 0.330  0.00
39 O 0.945 0.102 0.830  0.00
40 O 0.055 0.898 0.170  0.00

Its raw formation energy is -2.65 eV per atom.

3.
Entry from the Alexandria database: a relaxed BaSiAg3 crystal (GGA-PBEsol).

abc: 4.911 4.911 4.911
angles: 90.00 90.00 90.00
Sites, in units of the cell vectors:
1 Si 0.000 0.000 0.000
2 Ba 0.500 0.500 0.500
3 Ag 0.000 0.500 0.000
4 Ag 0.000 0.000 0.500
5 Ag 0.500 0.000 0.000

The density of states at the Fermi level is 1.96 states/eV per cell. Its raw formation energy is -0.09 eV per atom.

4.
Entry from the Alexandria database: a relaxed NaTa2Fe crystal (GGA-PBEsol).

abc: 4.422 4.422 4.422
angles: 60.00 60.00 60.00
Sites, in units of the cell vectors:
1 Na 0.000 0.000 0.000
2 Fe 0.500 0.500 0.500
3 Ta 0.250 0.250 0.250
4 Ta 0.750 0.750 0.750

The density of states at the Fermi level is 4.00 states/eV per cell. For the total DFT energy (no corrections), the calculation gives -32.19 eV per cell.

5.
Entry from the Alexandria database: a relaxed Mg2InRu crystal (GGA-PBEsol).

abc: 3.978 3.978 5.220
angles: 112.40 112.40 90.00
Sites, in units of the cell vectors:
1 Ru 0.500 0.500 0.000
2 Mg 0.750 0.250 0.500
3 Mg 0.250 0.750 0.500
4 In 0.000 0.000 0.000

The density of states at the Fermi level is 3.01 states/eV per cell. For the total DFT energy (no corrections), the calculation gives -16.61 eV per cell.

6.
Entry from the Alexandria database: a relaxed YHgBr2 crystal (GGA-PBEsol).

abc: 5.165 5.165 5.165
angles: 60.00 60.00 60.00
Site moments in Bohr magnetons follow the coordinates.
Sites, in units of the cell vectors:
1 Y 0.500 0.500 0.500  0.35
2 Hg 0.000 0.000 0.000  0.02
3 Br 0.250 0.250 0.250  0.00
4 Br 0.750 0.750 0.750  0.00

The density of states at the Fermi level is 2.80 states/eV per cell. Its raw formation energy is -0.86 eV per atom.

7.
Entry from the Alexandria database: a relaxed SbCl crystal (GGA-PBEsol).

abc: 3.316 5.560 5.297
angles: 90.00 90.00 90.00
Sites, in units of the cell vectors:
1 Sb 0.500 0.000 0.999
2 Sb 0.000 0.500 0.001
3 Cl 0.000 0.000 0.593
4 Cl 0.500 0.500 0.407

The density of states at the Fermi level is 1.46 states/eV per cell. Its raw formation energy is -0.22 eV per atom.

8.
Entry from the Alexandria database: a relaxed Tb4Se3N2 crystal (GGA-PBEsol).

abc: 3.897 6.882 8.085
angles: 85.86 76.06 73.55
Sites, in units of the cell vectors:
1 Tb 0.244 0.871 0.640
2 Tb 0.756 0.129 0.360
3 Tb 0.560 0.732 0.149
4 Tb 0.440 0.268 0.851
5 Se 0.000 0.000 0.000
6 Se 0.834 0.560 0.772
7 Se 0.166 0.440 0.228
8 N 0.351 0.937 0.361
9 N 0.649 0.063 0.639

Its raw formation energy is -1.88 eV per atom.